# 1
First-principles (PBE) data for a relaxed structure of Ac2MgMnGe6, as listed in Alexandria via LeMat-Bulk.

Cell lengths 6.3845, 6.3845, 37.9039 Å; angles 90.00, 90.00, 120.00 degrees
Space group R-3m (No. 166, hexagonal axes)
Unique sites:
1 Ac 0.0000 0.0000 0.1124 [6 per cell]
2 Ac 0.0000 0.0000 0.2855 [6 per cell]
3 Mg 0.0000 0.0000 0.4265 [6 per cell]
4 Mn 0.0000 0.0000 0.0000 [3 per cell]
5 Mn 0.0000 0.0000 0.5000 [3 per cell]
6 Ge 0.0465 0.5233 0.2977 [18 per cell]
7 Ge 0.0653 0.5326 0.8651 [18 per cell]

Values from the calculation:
D(E_F)   27.711 states/eV/cell
ΔE_f   -0.34 eV per atom


# 2
First-principles (PBE) data for a relaxed structure of AcMgMnGe2, as listed in Alexandria via LeMat-Bulk.

Cell lengths 4.381, 4.381, 11.414 Å; angles 90.00, 90.00, 90.00 degrees
Space group I-4m2 (No. 119)
Unique sites:
1 Ac 0.000 0.000 0.000 [2 per cell]
2 Mg 0.000 0.500 0.750 [2 per cell]
3 Mn 0.000 0.500 0.250 [2 per cell]
4 Ge 0.000 0.000 0.381 [4 per cell]

Values from the calculation:
D(E_F)   3.222 states/eV/cell
ΔE_f   -0.45 eV per atom


# 3
First-principles (PBE) data for a relaxed structure of Ac2Mg2Ge2N, as listed in Alexandria via LeMat-Bulk.

Cell lengths 4.531, 4.531, 16.331 Å; angles 90.00, 90.00, 90.00 degrees
Space group I4/mmm (No. 139)
Unique sites:
1 Ac 0.000 0.000 0.156 [4 per cell]
2 Mg 0.000 0.500 0.000 [4 per cell]
3 Ge 0.000 0.000 0.376 [4 per cell]
4 N 0.000 0.000 0.000 [2 per cell]

Values from the calculation:
D(E_F)   7.480 states/eV/cell
Formation energy from raw total energies   -0.67 eV/atom


# 4
First-principles (PBE) data for a relaxed structure of Ac3MgGe2N6, as listed in Alexandria via LeMat-Bulk.

Cell lengths 5.9813, 5.9813, 6.5598 Å; angles 90.00, 90.00, 120.00 degrees
Space group P-3m1 (No. 164)
Unique sites:
1 Ac 0.0000 0.0000 0.0000 [1 per cell]
2 Ac 0.3333 0.6667 0.6439 [2 per cell]
3 Mg 0.0000 0.0000 0.5000 [1 per cell]
4 Ge 0.3333 0.6667 0.1924 [2 per cell]
5 N 0.1696 0.3393 0.2996 [6 per cell]

Values from the calculation:
D(E_F)   4.307 states/eV/cell
Formation energy from raw total energies   -0.61 eV/atom


# 5
First-principles (PBE) data for a relaxed structure of NaAcMg2Ge2, as listed in Alexandria via LeMat-Bulk.

Cell lengths 4.6988, 4.6988, 7.5868 Å; angles 90.00, 90.00, 120.00 degrees
Space group P-3m1 (No. 164)
Unique sites:
1 Na 0.0000 0.0000 0.0000 [1 per cell]
2 Ac 0.0000 0.0000 0.5000 [1 per cell]
3 Mg 0.3333 0.6667 0.1596 [2 per cell]
4 Ge 0.3333 0.6667 0.7559 [2 per cell]

Values from the calculation:
D(E_F)   0.932 states/eV/cell
ΔE_f   -0.44 eV per atom


# 6
First-principles (PBE) data for a relaxed structure of NaAcMgGe2, as listed in Alexandria via LeMat-Bulk.

Cell lengths 4.541, 4.541, 12.243 Å; angles 90.00, 90.00, 90.00 degrees
Space group I-4m2 (No. 119)
Unique sites:
1 Na 0.000 0.000 0.000 [2 per cell]
2 Ac 0.000 0.500 0.250 [2 per cell]
3 Mg 0.000 0.000 0.500 [2 per cell]
4 Ge 0.000 0.500 0.645 [4 per cell]

Values from the calculation:
D(E_F)   5.564 states/eV/cell
ΔE_f   -0.39 eV per atom